A geometry-optimized LiGa4Pb structure. Source: Alexandria, functional PBE.

SG: F-43m (216)
Electronic total energy, eV per cell: -18.03

```
LiGa4Pb
1.0
5.650 0.000 0.000
2.825 4.893 0.000
2.825 1.631 4.613
Pb Ga Li
1 4 1
direct
0.000 0.000 0.000
0.624 0.624 0.128
0.624 0.128 0.624
0.624 0.624 0.624
0.128 0.624 0.624
0.250 0.250 0.250
```